VASP calculation (PBE-GGA) on YMgAs2 after structural relaxation.

The formation energy is -710 meV/atom.

The structure belongs to space group Immm (No. 71); the cell edges are 4.329, 5.536 and 7.327 Å and the angles 90.00°, 90.00° and 90.00°. The distinct sites, in fractional coordinates, are Y at (0.000, 0.000, 0.000), Mg at (0.000, 0.000, 0.500) and As at (0.000, 0.500, 0.230).